# 1
## SrCdCo (PBE)

Data for SrCdCo after structural relaxation.

DFT formation energy ... 0.896 eV/atom
ρ ... 4.39 g cm⁻³
D(E_F) ... 1.8986 states/eV/atom
Crystal system ... cubic

a = 5.1727 Å, b = 5.1727 Å, c = 5.1727 Å
α = 60.00°, β = 60.00°, γ = 60.00°
Fractional positions:
Sr  0.0000  0.0000  0.0000
Cd  0.2500  0.2500  0.2500
Co  0.7500  0.7500  0.7500

---

# 2
## Ba2GeAu (PBE)

Data for Ba2GeAu after structural relaxation.

DFT formation energy ... -0.609 eV/atom
ρ ... 6.14 g cm⁻³
D(E_F) ... 0.7997 states/eV/atom
Crystal system ... orthorhombic

a = 13.4714 Å, b = 13.4714 Å, c = 4.4625 Å
α = 90.00°, β = 90.00°, γ = 158.69°
Fractional positions:
Ba  0.0644  0.9356  0.7500
Ba  0.3144  0.6856  0.7500
Ba  0.6856  0.3144  0.2500
Ba  0.9356  0.0644  0.2500
Ge  0.4704  0.5296  0.7500
Ge  0.5296  0.4704  0.2500
Au  0.1901  0.8099  0.7500
Au  0.8099  0.1901  0.2500

---

# 3
## YZrFe2 (PBE)

Data for YZrFe2 after structural relaxation.

DFT formation energy ... 0.031 eV/atom
Excess energy over the best structure of this formula in the dataset ... 0.17 eV per formula unit
ρ ... 7.01 g cm⁻³
D(E_F) ... 1.3572 states/eV/atom
Crystal system ... tetragonal

a = 3.2429 Å, b = 3.2429 Å, c = 6.5718 Å
α = 90.00°, β = 90.00°, γ = 90.00°
Fractional positions:
Y  0.0000  0.0000  0.0000
Zr  0.0000  0.0000  0.5000
Fe  0.5000  0.5000  0.2763
Fe  0.5000  0.5000  0.7237

---

# 4
## Cd2Hg5Sb2Pb3 (PBE)

Data for Cd2Hg5Sb2Pb3 after structural relaxation.

Uncorrected formation energy ... 71 meV/atom
ρ ... 10.05 g cm⁻³
D(E_F) ... 0.5388 states/eV/atom
Crystal system ... tetragonal

a = 17.4221 Å, b = 17.4221 Å, c = 17.4221 Å
α = 165.18°, β = 165.18°, γ = 21.01°
Fractional positions:
Cd  0.1346  0.1346  0.0000
Cd  0.8654  0.8654  0.0000
Hg  0.0000  0.0000  0.0000
Hg  0.0766  0.5766  0.5000
Hg  0.4234  0.9234  0.5000
Hg  0.5766  0.0766  0.5000
Hg  0.9234  0.4234  0.5000
Sb  0.2182  0.2182  0.0000
Sb  0.7818  0.7818  0.0000
Pb  0.3116  0.3116  0.0000
Pb  0.5000  0.5000  0.0000
Pb  0.6884  0.6884  0.0000

---

# 5
## LiZr2Cl (PBE)

Data for LiZr2Cl after structural relaxation.

Uncorrected formation energy ... -31 meV/atom
Excess energy over the best structure of this formula in the dataset ... 2.08 eV per formula unit
ρ ... 4.49 g cm⁻³
D(E_F) ... 0.7442 states/eV/atom
Crystal system ... monoclinic

a = 5.9632 Å, b = 5.9632 Å, c = 3.0772 Å
α = 103.97°, β = 103.97°, γ = 119.80°
Fractional positions:
Li  0.0000  0.0000  0.0000
Zr  0.0000  0.5000  0.0000
Zr  0.5000  0.0000  0.0000
Cl  0.5000  0.5000  0.0000

---

# 6
## Ac5Pr6Er2 (PBE)

Data for Ac5Pr6Er2 after structural relaxation.

DFT formation energy ... 0.071 eV/atom
ρ ... 7.53 g cm⁻³
D(E_F) ... 1.4716 states/eV/atom
Crystal system ... orthorhombic

a = 12.0920 Å, b = 22.0786 Å, c = 3.8234 Å
α = 90.00°, β = 90.00°, γ = 90.00°
Fractional positions:
Ac  0.0000  0.0000  0.0000
Ac  0.0647  0.4235  0.0000
Ac  0.1462  0.7231  0.0000
Ac  0.3538  0.2231  0.0000
Ac  0.4353  0.9235  0.0000
Ac  0.5000  0.5000  0.0000
Ac  0.5647  0.0765  0.0000
Ac  0.6462  0.7769  0.0000
Ac  0.8538  0.2769  0.0000
Ac  0.9353  0.5765  0.0000
Pr  0.0819  0.1537  0.0000
Pr  0.1654  0.8814  0.5000
Pr  0.2250  0.5564  0.5000
Pr  0.2750  0.0564  0.5000
Pr  0.3346  0.3814  0.5000
Pr  0.4181  0.6537  0.0000
Pr  0.5819  0.3463  0.0000
Pr  0.6654  0.6186  0.5000
Pr  0.7250  0.9436  0.5000
Pr  0.7750  0.4436  0.5000
Pr  0.8346  0.1186  0.5000
Pr  0.9181  0.8463  0.0000
Er  0.1156  0.2840  0.5000
Er  0.3844  0.7840  0.5000
Er  0.6156  0.2160  0.5000
Er  0.8844  0.7160  0.5000

---

# 7
## FeCoMo2 (PBE)

Data for FeCoMo2 after structural relaxation.

DFT formation energy ... 0.165 eV/atom
Excess energy over the best structure of this formula in the dataset ... 0.31 eV per formula unit
ρ ... 9.36 g cm⁻³
D(E_F) ... 1.2376 states/eV/atom
Crystal system ... monoclinic

a = 2.6188 Å, b = 4.1168 Å, c = 5.2069 Å
α = 90.00°, β = 104.23°, γ = 90.00°
Fractional positions:
Fe  0.0000  0.0000  0.0000
Co  0.5000  0.0000  0.5000
Mo  0.2408  0.5000  0.7495
Mo  0.7592  0.5000  0.2505

---

# 8
## BeFe3Pt (PBE)

Data for BeFe3Pt after structural relaxation.

DFT formation energy ... 0.603 eV/atom
Excess energy over the best structure of this formula in the dataset ... 0.00 eV per formula unit
ρ ... 10.95 g cm⁻³
D(E_F) ... 1.7243 states/eV/atom
Crystal system ... cubic

a = 3.8338 Å, b = 3.8338 Å, c = 3.8338 Å
α = 90.00°, β = 90.00°, γ = 90.00°
Fractional positions:
Be  0.0000  0.0000  0.0000
Fe  0.0000  0.0000  0.5000
Fe  0.0000  0.5000  0.0000
Fe  0.5000  0.0000  0.0000
Pt  0.5000  0.5000  0.5000

---

| no. | total energy (eV per atom) |
| --- | --- |
| 1 | -2.34 |
| 2 | -3.54 |
| 3 | -7.95 |
| 4 | -1.82 |
| 5 | -5.25 |
| 6 | -4.42 |
| 7 | -9.14 |
| 8 | -6.43 |